Below is a relaxed KLi2BiCl6 crystal, with properties calculated at the PBE level.

```
KLi2BiCl6
1.0
3.3505 1.9344 7.5919
-3.3505 1.9344 7.5919
0.0000 -3.8689 7.5919
K Li Bi Cl
1 2 1 6
Direct
0.0000 0.0000 0.0000 K
0.1737 0.1737 0.1737 Li
0.8263 0.8263 0.8263 Li
0.5000 0.5000 0.5000 Bi
0.0914 0.7823 0.4346 Cl
0.2177 0.5654 0.9086 Cl
0.4346 0.0914 0.7823 Cl
0.5654 0.9086 0.2177 Cl
0.7823 0.4346 0.0914 Cl
0.9086 0.2177 0.5654 Cl
```

Calculated values
Formation energy without anion corrections, meV per atom: -1531
D(E_F), states/eV/cell: 0.00
Magnetization, μB/cell: 0.00